{"formula": "Rb2AgIrF6", "functional": "PBE", "state": "optimized geometry", "energy_ev_per_atom": -4.39, "density_g_cm3": 5.508, "lattice_angstrom": [[6.295, 0.000, 0.000], [3.147, 5.451, 0.000], [3.147, 1.817, 5.140]], "species": ["Ir", "Rb", "Rb", "F", "F", "F", "F", "F", "F", "Ag"], "frac_coords": [[0.000, 0.000, 0.000], [0.750, 0.750, 0.750], [0.250, 0.250, 0.250], [0.230, 0.770, 0.230], [0.230, 0.770, 0.770], [0.230, 0.230, 0.770], [0.770, 0.230, 0.770], [0.770, 0.230, 0.230], [0.770, 0.770, 0.230], [0.500, 0.500, 0.500]]}

***

{"formula": "ScAgIr2F", "functional": "PBE", "state": "optimized geometry", "energy_ev_per_atom": -5.01, "density_g_cm3": 9.426, "lattice_angstrom": [[4.986, 0.000, 0.000], [0.000, 3.942, 0.000], [0.000, 0.000, 4.986]], "species": ["Sc", "F", "Ir", "Ir", "Ag"], "frac_coords": [[0.500, 0.500, 0.500], [0.000, 0.500, 0.000], [0.500, 0.000, 0.000], [0.000, 0.000, 0.500], [0.000, 0.000, 0.000]]}

***

{"formula": "SiAgIr2F", "functional": "PBE", "state": "optimized geometry", "energy_ev_per_atom": -3.69, "density_g_cm3": 7.810, "lattice_angstrom": [[5.020, 0.000, 0.000], [0.000, 4.550, 0.000], [0.000, 0.000, 5.020]], "species": ["F", "Si", "Ir", "Ir", "Ag"], "frac_coords": [[0.500, 0.500, 0.500], [0.000, 0.500, 0.000], [0.000, 0.000, 0.500], [0.500, 0.000, 0.000], [0.000, 0.000, 0.000]]}

***

{"formula": "SiAg2IrF", "functional": "PBE", "state": "optimized geometry", "energy_ev_per_atom": -3.90, "density_g_cm3": 9.246, "lattice_angstrom": [[-2.644, 0.252, -3.631], [-2.220, -3.067, 1.404], [-2.670, 2.915, 2.147]], "species": ["F", "Ir", "Ag", "Ag", "Si"], "frac_coords": [[0.000, 0.000, 0.000], [0.500, 0.500, 0.500], [0.500, 0.000, 0.000], [0.000, 0.000, 0.500], [0.000, 0.500, 0.000]]}

***

{"formula": "SrAgIrF6", "functional": "PBE", "state": "optimized geometry", "energy_ev_per_atom": -4.83, "density_g_cm3": 5.730, "lattice_angstrom": [[6.149, 0.000, 0.000], [-3.074, 5.325, 0.000], [0.000, 0.000, 8.881]], "species": ["F", "F", "F", "F", "F", "F", "F", "F", "F", "F", "F", "F", "Ir", "Ir", "Sr", "Sr", "Ag", "Ag"], "frac_coords": [[0.616, 0.666, 0.629], [0.334, 0.384, 0.871], [0.950, 0.616, 0.371], [0.050, 0.666, 0.871], [0.384, 0.334, 0.371], [0.050, 0.384, 0.629], [0.616, 0.950, 0.871], [0.666, 0.616, 0.129], [0.950, 0.334, 0.129], [0.384, 0.050, 0.129], [0.334, 0.950, 0.629], [0.666, 0.050, 0.371], [0.333, 0.667, 0.750], [0.667, 0.333, 0.250], [0.333, 0.667, 0.250], [0.667, 0.333, 0.750], [0.000, 0.000, 0.500], [0.000, 0.000, 0.000]]}

***

{"formula": "TiAgIrF2", "functional": "PBE", "state": "optimized geometry", "energy_ev_per_atom": -4.75, "density_g_cm3": 7.197, "lattice_angstrom": [[3.977, 0.000, 0.000], [0.000, 5.629, 0.000], [0.000, 0.000, 3.977]], "species": ["F", "F", "Ag", "Ir", "Ti"], "frac_coords": [[0.500, 0.000, 0.000], [0.000, 0.000, 0.500], [0.000, 0.000, 0.000], [0.000, 0.500, 0.000], [0.500, 0.500, 0.500]]}

***

{"formula": "TlAgIrF6", "functional": "PBE", "state": "optimized geometry", "energy_ev_per_atom": -4.33, "density_g_cm3": 5.910, "lattice_angstrom": [[-0.789, -3.636, 4.918], [4.517, -0.618, 4.154], [-1.947, 4.092, 2.719]], "species": ["F", "F", "F", "F", "F", "F", "Ir", "Tl", "Ag"], "frac_coords": [[0.599, 0.340, 0.703], [0.060, 0.600, 0.702], [0.060, 0.342, 0.297], [0.340, 0.061, 0.703], [0.599, 0.059, 0.297], [0.342, 0.598, 0.297], [0.333, 0.333, 0.500], [0.000, 0.000, 0.001], [0.666, 0.666, 0.502]]}

***

Please write out number 7 again, unchanged.
{"formula": "TlAgIrF6", "functional": "PBE", "state": "optimized geometry", "energy_ev_per_atom": -4.33, "density_g_cm3": 5.910, "lattice_angstrom": [[-0.789, -3.636, 4.918], [4.517, -0.618, 4.154], [-1.947, 4.092, 2.719]], "species": ["F", "F", "F", "F", "F", "F", "Ir", "Tl", "Ag"], "frac_coords": [[0.599, 0.340, 0.703], [0.060, 0.600, 0.702], [0.060, 0.342, 0.297], [0.340, 0.061, 0.703], [0.599, 0.059, 0.297], [0.342, 0.598, 0.297], [0.333, 0.333, 0.500], [0.000, 0.000, 0.001], [0.666, 0.666, 0.502]]}